## CsRb2Se (GGA-PBE)

Data for crystalline CsRb2Se at its relaxed geometry.

Results
Symmetry   R-3m
Formation energy without anion corrections   -0.671 eV/atom
Density of states at the Fermi level   1.5 states/eV per cell

Lattice parameters (Å, degrees): 5.400 5.400 11.331 76.21 76.21 60.00
Positions (direct):
Cs (0.500, 0.500, 0.500)
Se (0.000, 0.000, 0.000)
Rb (0.292, 0.292, 0.123)
Rb (0.708, 0.708, 0.877)